Record 1
A plane-wave DFT calculation with GGA-PBE was carried out for CaCu2 after structural relaxation.

Unit cell a=6.6610 b=6.6610 c=6.6610 alpha=90.00 beta=90.00 gamma=90.00
Sites, in units of the cell vectors:
Ca  0.0000  0.0000  0.0000
Ca  0.0000  0.5000  0.5000
Ca  0.5000  0.0000  0.5000
Ca  0.5000  0.5000  0.0000
Cu  0.1008  0.6008  0.8992
Cu  0.1008  0.8992  0.3992
Cu  0.3992  0.1008  0.8992
Cu  0.3992  0.3992  0.3992
Cu  0.6008  0.6008  0.6008
Cu  0.6008  0.8992  0.1008
Cu  0.8992  0.1008  0.6008
Cu  0.8992  0.3992  0.1008

Output
Space group ... No. 205
ρ ... 3.76 g/cm³
E_form ... 1.65 eV/f.u.

Record 2
A plane-wave DFT calculation with GGA-PBE was carried out for NaPRuO2 after structural relaxation.

Unit cell a=3.8769 b=3.8769 c=5.1903 alpha=90.00 beta=90.00 gamma=90.00
Sites, in units of the cell vectors:
Na  0.0000  0.0000  0.0000
P  0.0000  0.0000  0.5000
Ru  0.5000  0.5000  0.5000
O  0.0000  0.5000  0.0000
O  0.5000  0.0000  0.0000

Output
Space group ... No. 123
Energy relative to the lowest polymorph listed for this composition ... 1573 meV/atom
ρ ... 3.98 g/cm³
Formation energy without anion corrections ... 1169 meV/atom

Record 3
A plane-wave DFT calculation with GGA-PBE was carried out for InPW2 after structural relaxation.

Unit cell a=5.1886 b=5.1886 c=2.9267 alpha=101.41 beta=101.41 gamma=114.25
Sites, in units of the cell vectors:
In  0.0000  0.0000  0.0000
P  0.5000  0.5000  0.0000
W  0.0000  0.5000  0.5000
W  0.5000  0.0000  0.5000

Output
Space group ... No. 12
Energy relative to the lowest polymorph listed for this composition ... 649 meV/atom
ρ ... 12.74 g/cm³
E_form ... 2.95 eV/f.u.

Record 4
A plane-wave DFT calculation with GGA-PBE was carried out for SiClO2 after structural relaxation.

Unit cell a=5.3324 b=5.3324 c=5.3324 alpha=60.00 beta=60.00 gamma=60.00
Sites, in units of the cell vectors:
Si  0.1250  0.1250  0.1250
Si  0.8750  0.8750  0.8750
Cl  0.3750  0.3750  0.3750
Cl  0.6250  0.6250  0.6250
O  0.0000  0.0000  0.0000
O  0.0000  0.0000  0.5000
O  0.0000  0.5000  0.0000
O  0.5000  0.0000  0.0000

Output
Space group ... No. 227
Energy relative to the lowest polymorph listed for this composition ... 0 meV/atom
ρ ... 2.96 g/cm³
Formation energy without anion corrections ... -1714 meV/atom

Record 5
A plane-wave DFT calculation with GGA-PBE was carried out for ZrBe after structural relaxation.

Unit cell a=4.1219 b=4.1219 c=4.1219 alpha=47.34 beta=47.34 gamma=47.34
Sites, in units of the cell vectors:
Zr  0.0000  0.0000  0.0000
Be  0.5000  0.5000  0.5000

Output
Space group ... No. 166
ρ ... 4.81 g/cm³
E_form ... 0.46 eV/f.u.

Record 6
A plane-wave DFT calculation with GGA-PBE was carried out for SrMg6Al after structural relaxation.

Unit cell a=4.8602 b=7.5441 c=7.5441 alpha=48.84 beta=90.00 gamma=90.00
Sites, in units of the cell vectors:
Sr  0.0000  0.0000  0.0000
Mg  0.0000  0.4215  0.4215
Mg  0.0000  0.4777  0.9638
Mg  0.0000  0.9638  0.4777
Mg  0.5000  0.0996  0.6066
Mg  0.5000  0.5857  0.5857
Mg  0.5000  0.6066  0.0996
Al  0.5000  0.1682  0.1682

Output
Space group ... No. 38
Energy relative to the lowest polymorph listed for this composition ... 5 meV/atom
ρ ... 2.08 g/cm³
E_form ... 0.33 eV/f.u.

Record 7
A plane-wave DFT calculation with GGA-PBE was carried out for RbSiB after structural relaxation.

Unit cell a=4.1320 b=6.1201 c=6.8633 alpha=109.63 beta=107.42 gamma=90.16
Sites, in units of the cell vectors:
Rb  0.1112  0.3899  0.2192
Rb  0.8888  0.6101  0.7808
Si  0.3002  0.0243  0.6006
Si  0.6998  0.9757  0.3994
B  0.4445  0.0130  0.8889
B  0.5555  0.9870  0.1111

Output
Space group ... No. 2
ρ ... 2.67 g/cm³
Formation energy without anion corrections ... 306 meV/atom

Record 8
A plane-wave DFT calculation with GGA-PBE was carried out for Hf2SnP after structural relaxation.

Unit cell a=7.7474 b=7.7474 c=7.7474 alpha=26.63 beta=26.63 gamma=26.63
Sites, in units of the cell vectors:
Hf  0.0000  0.0000  0.0000
Hf  0.2009  0.2009  0.2009
Sn  0.7682  0.7682  0.7682
P  0.6002  0.6002  0.6002

Output
Space group ... No. 160
Energy relative to the lowest polymorph listed for this composition ... 0 meV/atom
ρ ... 10.21 g/cm³
E_form ... -3.22 eV/f.u.

Record 9
A plane-wave DFT calculation with GGA-PBE was carried out for RbAcBiO3 after structural relaxation.

Unit cell a=7.6787 b=7.6787 c=7.9361 alpha=102.84 beta=102.84 gamma=33.85
Sites, in units of the cell vectors:
Rb  0.1522  0.1522  0.0725
Rb  0.8478  0.8478  0.9275
Ac  0.1536  0.1536  0.5702
Ac  0.8464  0.8464  0.4298
Bi  0.4992  0.4992  0.2671
Bi  0.5008  0.5008  0.7329
O  0.0066  0.0066  0.3111
O  0.3215  0.3215  0.6095
O  0.3422  0.3422  0.2249
O  0.6578  0.6578  0.7751
O  0.6785  0.6785  0.3905
O  0.9934  0.9934  0.6889

Output
Space group ... No. 12
ρ ... 7.46 g/cm³
Formation energy without anion corrections ... -1977 meV/atom

Record 10
A plane-wave DFT calculation with GGA-PBE was carried out for PmP2PtRh2 after structural relaxation.

Unit cell a=6.1803 b=8.9678 c=4.0611 alpha=90.00 beta=90.00 gamma=90.00
Sites, in units of the cell vectors:
Pm  0.0000  0.0000  0.0000
Pm  0.5000  0.5000  0.5000
P  0.2408  0.3032  0.0000
P  0.2592  0.8032  0.5000
P  0.7408  0.1968  0.5000
P  0.7592  0.6968  0.0000
Pt  0.0000  0.5000  0.0000
Pt  0.5000  0.0000  0.5000
Rh  0.0727  0.2887  0.5000
Rh  0.4273  0.7887  0.0000
Rh  0.5727  0.2113  0.0000
Rh  0.9273  0.7113  0.5000

Output
Space group ... No. 58
ρ ... 8.97 g/cm³
E_form ... -4.60 eV/f.u.

Record 11
A plane-wave DFT calculation with GGA-PBE was carried out for AcGa3 after structural relaxation.

Unit cell a=6.8274 b=6.8274 c=4.7046 alpha=90.00 beta=90.00 gamma=120.00
Sites, in units of the cell vectors:
Ac  0.3333  0.6667  0.2500
Ac  0.6667  0.3333  0.7500
Ga  0.1348  0.2696  0.7500
Ga  0.1348  0.8652  0.7500
Ga  0.2696  0.1348  0.2500
Ga  0.7304  0.8652  0.7500
Ga  0.8652  0.1348  0.2500
Ga  0.8652  0.7304  0.2500

Output
Space group ... No. 194
Energy relative to the lowest polymorph listed for this composition ... 0 meV/atom
ρ ... 7.63 g/cm³
E_form ... -2.15 eV/f.u.

Record 12
A plane-wave DFT calculation with GGA-PBE was carried out for SiTe2 after structural relaxation.

Unit cell a=5.4541 b=7.5299 c=4.0037 alpha=90.00 beta=90.00 gamma=90.00
Sites, in units of the cell vectors:
Si  0.0000  0.0000  0.0000
Si  0.5000  0.5000  0.5000
Te  0.1941  0.3481  0.0000
Te  0.3059  0.8481  0.5000
Te  0.6941  0.1519  0.5000
Te  0.8059  0.6519  0.0000

Output
Space group ... No. 58
ρ ... 5.72 g/cm³
Formation energy without anion corrections ... 216 meV/atom